First-principles (PBE-GGA) data for an optimized crystal structure of LiRu2W2, as listed in Alexandria.

The structure belongs to space group P4/mbm (No. 127); the cell edges are 7.618, 7.618 and 2.802 Å and the angles 90.00°, 90.00° and 90.00°. The distinct sites, in fractional coordinates, are Li at (0.000, 0.000, 0.000), Ru at (0.142, 0.358, 0.000) and W at (0.152, 0.652, 0.500).

As for the size of the total moment: 0.00 μB/cell. Its density of states at the Fermi level is 6.103 states/eV/cell. The total DFT energy (no corrections) comes out at -9.078 eV per atom. Its formation energy is 4.525 kcal/mol of atoms.

---

First-principles (PBE-GGA) data for an optimized crystal structure of Li2RuW, as listed in Alexandria.

The structure belongs to space group Pm (No. 6); the cell edges are 2.635, 4.276 and 5.407 Å and the angles 90.00°, 98.01° and 90.00°. The distinct sites, in fractional coordinates, are Li at (0.000, 0.000, 0.000), Li at (0.222, 0.500, 0.792), Ru at (0.784, 0.500, 0.299) and W at (0.510, 0.000, 0.478).

As for the size of the total moment: 0.00 μB/cell. Its density of states at the Fermi level is 2.346 states/eV/cell. The total DFT energy (no corrections) comes out at -6.245 eV per atom. Its formation energy is 6.212 kcal/mol of atoms.

---

First-principles (PBE-GGA) data for an optimized crystal structure of LiRuW, as listed in Alexandria.

The structure belongs to space group Imm2 (No. 44); the cell edges are 2.733, 4.050 and 7.600 Å and the angles 90.00°, 90.00° and 90.00°. The distinct sites, in fractional coordinates, are Li at (0.000, 0.000, 0.000), Ru at (0.000, 0.000, 0.663) and W at (0.000, 0.000, 0.331).

As for the size of the total moment: 0.00 μB/cell. Its density of states at the Fermi level is 3.946 states/eV/cell. The total DFT energy (no corrections) comes out at -7.795 eV per atom. Its formation energy is 5.827 kcal/mol of atoms.

---

First-principles (PBE-GGA) data for an optimized crystal structure of Li3RuW, as listed in Alexandria.

The structure belongs to space group Pm-3m (No. 221); the cell edges are 4.192, 4.192 and 4.192 Å and the angles 90.00°, 90.00° and 90.00°. The distinct sites, in fractional coordinates, are Li at (0.000, 0.000, 0.500), Ru at (0.000, 0.000, 0.000) and W at (0.500, 0.500, 0.500).

As for the size of the total moment: 0.00 μB/cell. Its density of states at the Fermi level is 5.062 states/eV/cell. The total DFT energy (no corrections) comes out at -3.999 eV per atom. Its formation energy is 36.783 kcal/mol of atoms.

---

First-principles (PBE-GGA) data for an optimized crystal structure of LiRuW, as listed in Alexandria.

The structure belongs to space group F-43m (No. 216); the cell edges are 5.847, 5.847 and 5.847 Å and the angles 90.00°, 90.00° and 90.00°. The distinct sites, in fractional coordinates, are Li at (0.000, 0.000, 0.000), Ru at (0.250, 0.250, 0.750) and W at (0.000, 0.000, 0.500).

As for the size of the total moment: 0.04 μB/cell. Its density of states at the Fermi level is 17.200 states/eV/cell. The total DFT energy (no corrections) comes out at -7.384 eV per atom. Its formation energy is 15.299 kcal/mol of atoms.

---

First-principles (PBE-GGA) data for an optimized crystal structure of Li2RuW, as listed in Alexandria.

The structure belongs to space group Pmmm (No. 47); the cell edges are 2.579, 4.520 and 4.980 Å and the angles 90.00°, 90.00° and 90.00°. The distinct sites, in fractional coordinates, are Li at (0.000, 0.000, 0.242), Ru at (0.500, 0.500, 0.000) and W at (0.500, 0.500, 0.500).

As for the size of the total moment: 0.00 μB/cell. Its density of states at the Fermi level is 2.332 states/eV/cell. The total DFT energy (no corrections) comes out at -6.135 eV per atom. Its formation energy is 8.743 kcal/mol of atoms.